[1]
Pr12Mg2Cd5 PBE optimized geometry; raw total energy = -3.524 eV per atom; energy of formation from the pure elements = -176 kJ/mol of formula units
1.0
6.8105 -5.2383 0.0000
6.8105 5.2383 0.0000
-1.4694 0.0000 8.4205
Pr Mg Cd
12 2 5
Cartesian
0.9981 0.0000 1.6140
5.0123 3.0138 1.0657
3.7380 1.9714 5.7795
7.1393 3.0138 7.3548
4.7753 0.0000 2.9139
8.4136 1.9714 2.6410
3.7380 -1.9714 5.7795
7.3763 0.0000 5.5066
5.0123 -3.0138 1.0657
8.4136 -1.9714 2.6410
7.1393 -3.0138 7.3548
11.1535 0.0000 6.8065
6.0758 3.4749 4.2102
6.0758 -3.4749 4.2102
1.4784 0.0000 4.8103
2.4548 0.0000 8.2230
6.8105 0.0000 0.0000
9.6968 0.0000 0.1975
10.6732 0.0000 3.6102

***

[2]
TlSiAu2 PBE optimized geometry; energy relative to the lowest polymorph listed for this composition = 0.177 eV/atom; raw total energy = -3.440 eV per atom
1.0
3.0772 0.0000 0.0000
0.0000 3.3736 0.0000
-1.4824 0.0000 7.9687
Tl Si Au
1 1 2
Cartesian
0.0000 0.0000 0.0000
0.7974 0.0000 3.9844
-0.5295 1.6868 5.5299
2.1243 1.6868 2.4388

***

[3]
KInW PBE optimized geometry; energy relative to the lowest polymorph listed for this composition = 1.388 eV/atom; raw total energy = -3.302 eV per atom; energy of formation from the pure elements = 664 kJ/mol of formula units
1.0
0.0000 3.7345 3.7345
3.7345 0.0000 3.7345
3.7345 3.7345 0.0000
K In W
1 1 1
Cartesian
0.0000 0.0000 0.0000
5.6017 5.6017 5.6017
1.8672 1.8672 1.8672

***

[4]
HoAl7Pd5 PBE optimized geometry; raw total energy = -5.107 eV per atom; energy of formation from the pure elements = -932 kJ/mol of formula units
1.0
-2.7077 4.5378 4.3405
2.7077 -4.5378 4.3405
2.7077 4.5378 -4.3405
Ho Al Pd
1 7 5
Cartesian
0.0000 0.0000 0.0000
2.7077 1.8936 -0.0819
2.7077 0.0000 2.0020
0.0000 0.0000 3.0943
0.0000 3.1600 0.1306
0.0000 0.0000 5.7149
0.0000 5.9156 0.1306
0.0000 2.6443 4.2586
1.3608 -2.1025 2.1450
4.0545 -2.1025 2.1450
1.3608 2.1025 2.1450
4.0545 2.1025 2.1450
0.0000 4.5378 2.4411

***

[5]
SnPdAu4 PBE optimized geometry; raw total energy = -3.835 eV per atom; energy of formation from the pure elements = -68 kJ/mol of formula units
1.0
4.8473 -2.1231 0.0000
4.8473 2.1231 0.0000
-2.1246 0.0000 5.3488
Sn Pd Au
1 1 4
Cartesian
0.0000 0.0000 0.0000
-1.0623 0.0000 2.6744
1.8165 0.0000 3.5448
2.8772 0.0000 0.9182
4.6926 0.0000 4.4307
5.7533 0.0000 1.8040

***

[6]
ReSbAu2 PBE optimized geometry; raw total energy = -5.290 eV per atom
1.0
6.1128 -1.5202 0.0000
6.1128 1.5202 0.0000
-1.2576 0.0000 4.2495
Re Sb Au
1 1 2
Cartesian
0.0000 0.0000 0.0000
5.4840 0.0000 2.1248
2.6443 0.0000 3.3428
8.3237 0.0000 0.9067

***

[7]
AcAl3Os PBE optimized geometry; energy relative to the lowest polymorph listed for this composition = 0.013 eV/atom; raw total energy = -5.691 eV per atom; energy of formation from the pure elements = -182 kJ/mol of formula units
1.0
4.8088 0.0000 0.0000
0.0000 4.8088 0.0000
0.0000 0.0000 4.8088
Ac Al Os
1 3 1
Cartesian
0.0000 0.0000 0.0000
0.0000 2.4044 2.4044
2.4044 0.0000 2.4044
2.4044 2.4044 0.0000
2.4044 2.4044 2.4044

***

[8]
MgIrW2 PBE optimized geometry; raw total energy = -8.958 eV per atom; energy of formation from the pure elements = 51 kJ/mol of formula units
1.0
0.0000 3.1581 3.1581
3.1581 0.0000 3.1581
3.1581 3.1581 0.0000
Mg Ir W
1 1 2
Cartesian
0.0000 0.0000 0.0000
1.5791 1.5791 1.5791
3.1581 3.1581 3.1581
4.7372 4.7372 4.7372